# 1
This record from the Alexandria database describes a relaxed structure of TbNiHg. The functional is PBE-GGA.

Output
ΔH_f (0 K), eV per atom: -0.426
Space-group type: No. 12

```
TbNiHg
1.0
3.9760 0.0000 0.0000
1.9880 6.2340 -0.1488
1.9880 0.9946 4.9418
Hg Ni Tb
2 2 2
Direct
0.8226 0.0886 0.2662
0.1774 0.9114 0.7338
0.8680 0.6535 0.6105
0.1320 0.3465 0.3895
0.5637 0.6779 0.1947
0.4363 0.3221 0.8053
```

# 2
This record from the Alexandria database describes a relaxed structure of Tb2Ni9Hg. The functional is PBE-GGA.

Output
ΔH_f (0 K), eV per atom: -0.197
Space-group type: No. 166

```
Tb2Ni9Hg
1.0
-1.9389 3.2827 3.1578
-3.8638 -1.2661 2.8241
3.0989 -1.8789 7.7363
Ni Tb Hg
9 2 1
Direct
0.5828 0.0811 0.7533
0.4172 0.9189 0.2467
0.5828 0.5828 0.7533
0.0811 0.5828 0.7533
0.9189 0.4172 0.2467
0.6671 0.6671 0.9988
0.5000 0.5000 0.5000
0.4172 0.4172 0.2467
0.3329 0.3329 0.0012
0.1352 0.1352 0.5945
0.8648 0.8648 0.4055
0.0000 0.0000 0.0000
```

# 3
This record from the Alexandria database describes a relaxed structure of TbNiHg. The functional is PBE-GGA.

Output
ΔH_f (0 K), eV per atom: -0.311
Space-group type: No. 187

```
TbNiHg
1.0
3.5091 0.0000 0.0000
0.0000 4.5448 0.0000
0.0000 -2.2724 3.9359
Hg Tb Ni
1 1 1
Direct
0.1667 0.3333 0.6667
0.6667 0.6667 0.3333
0.1666 0.0000 0.0000
```